1.
The following is a PBE calculation of a relaxed structure of V2SnRu3, from Alexandria.

## Properties
* spin magnetization: 0.00 μB per atom
* energy of formation: -0.183 eV/atom
* uncorrected energy: -8.5280 eV per atom

CIF file:
```
data_V2SnRu3
_chemical_formula_sum 'V2 Sn1 Ru3'
_cell_length_a 3.0254
_cell_length_b 3.0254
_cell_length_c 9.6807
_cell_angle_alpha 90.00
_cell_angle_beta 90.00
_cell_angle_gamma 90.00
_symmetry_space_group_name_H-M 'P 4/m m m'
_symmetry_Int_Tables_number 123
_symmetry_space_group_name_Hall '-P 4 2'
loop_
_atom_site_label
_atom_site_fract_x
_atom_site_fract_y
_atom_site_fract_z
V1 0.0000 0.0000 0.1539
Sn1 0.0000 0.0000 0.5000
Ru1 0.5000 0.5000 0.0000
Ru2 0.5000 0.5000 0.3045
```

2.
The following is a PBE calculation of a relaxed structure of BaPbI3, from Alexandria.

## Properties
* spin magnetization: 0.00 μB per atom
* excess energy over the best structure of this formula in the dataset: 0 meV/atom
* uncorrected energy: -2.7797 eV per atom

CIF file:
```
data_BaPbI3
_chemical_formula_sum 'Ba1 Pb1 I3'
_cell_length_a 6.3119
_cell_length_b 6.3119
_cell_length_c 6.3119
_cell_angle_alpha 90.00
_cell_angle_beta 90.00
_cell_angle_gamma 90.00
_symmetry_space_group_name_H-M 'P m -3 m'
_symmetry_Int_Tables_number 221
_symmetry_space_group_name_Hall '-P 4 2 3'
loop_
_atom_site_label
_atom_site_fract_x
_atom_site_fract_y
_atom_site_fract_z
Ba1 0.0000 0.0000 0.0000
Pb1 0.5000 0.5000 0.5000
I1 0.0000 0.5000 0.5000
```